HgAs2Pd8 (PBE, relaxed); calculated formation energy = -275.9 meV/atom
1.0
-4.4435 0.5352 0.9503
-0.5204 -3.5385 -5.6954
1.7792 -3.8397 5.2269
Pd Hg As
8 1 2
Cartesian
-3.3017 -5.3995 -0.8970
-1.0072 -3.4982 3.0206
-0.4646 -1.3674 -1.3832
-2.5473 -2.4873 0.4677
-2.7202 -5.4756 1.8650
-2.1776 -3.3449 -2.5388
0.1169 -1.4436 1.3789
-0.6375 -4.3558 0.0141
-2.2218 0.2676 0.4752
1.0439 -3.7434 1.7347
0.2148 -3.6348 -2.2031

=====

PmHo3Tm2 (PBE, relaxed); relative energy among the computed polymorphs = 0 meV per atom; calculated formation energy = -3.4 meV/atom
1.0
6.8801 -1.1272 -1.4418
-4.0852 9.2337 -0.3794
-2.1435 0.6934 6.7459
Ho Tm Pm
6 4 2
Cartesian
0.9721 5.8198 4.3960
-1.3904 3.3195 3.9003
0.5356 8.5572 0.2242
2.0418 5.4803 1.0245
0.1157 0.2427 4.7006
-0.3208 2.9801 0.5288
-2.4754 6.3925 5.1173
3.1267 2.4073 -0.1926
-1.4013 6.0392 1.7411
2.0527 2.7607 3.1836
1.1885 -0.1008 1.3261
-0.5371 8.9006 3.5986

=====

Sm2TmSi3Ni12 (PBE, relaxed); formation energy (no corrections) = -0.2000 eV/atom
1.0
6.1087 -1.4258 -1.0113
1.7770 6.0160 -1.0113
1.7770 1.0343 6.0120
Ni Tm Sm Si
12 1 2 3
Cartesian
4.9039 0.3619 0.2567
4.6205 5.3231 0.9851
5.0421 0.3013 3.0042
2.7521 4.2355 3.0042
2.7365 4.0854 0.2567
4.6205 2.6895 4.6981
2.7365 1.5929 3.7708
4.7588 5.2625 3.7327
6.9261 1.5391 3.7327
5.0421 2.9349 -0.7088
6.9261 4.0316 0.2186
6.9105 1.3889 0.9851
0.0000 0.0000 0.0000
3.3565 1.9538 1.3858
6.3061 3.6707 2.6036
3.0544 -0.7129 -0.5057
0.8885 3.0080 -0.5057
0.8885 0.5172 3.0060

=====

SrYTc (PBE, relaxed); relative energy among the computed polymorphs = 168 meV per atom; calculated formation energy = 559.8 meV/atom
1.0
-1.9498 3.0533 -0.0411
-1.4868 -3.0830 1.1878
2.3772 1.6144 7.1661
Tc Y Sr
1 1 1
Cartesian
-0.9610 1.5746 2.8842
-0.2363 -0.0835 5.0130
0.1379 0.0936 0.4156

=====

Li2ScGa6 (PBE, relaxed); calculated formation energy = -318.2 meV/atom
1.0
-2.2514 -0.1996 -2.3479
-0.2736 -7.4700 0.8974
-4.5714 4.4426 4.0059
Ga Li Sc
6 2 1
Cartesian
-4.3490 -2.1139 2.0881
-4.1670 2.8558 1.4911
-1.2173 -2.6001 -0.8736
-2.6558 1.3872 0.1668
-2.7474 -1.1131 0.4672
-5.8791 -0.6269 3.4289
-3.9576 -3.6987 -0.4144
-3.1388 0.4717 2.9697
-4.5714 4.4426 4.0058

=====

Sm5Y4Sc2 (PBE, relaxed); relative energy among the computed polymorphs = 175 meV per atom; calculated formation energy = 259.0 meV/atom
1.0
-0.0960 3.3407 0.9887
-0.1335 -2.6017 8.7776
11.5390 -0.1149 -4.6340
Sc Sm Y
2 5 4
Cartesian
5.1563 0.4870 4.9982
6.1532 0.1371 0.1342
3.4662 -0.4533 1.8684
3.3872 -1.9927 7.0616
7.8433 1.0775 3.2640
-0.0480 1.6704 0.4944
7.9223 2.6168 -1.9292
2.1709 0.4204 4.9330
9.1387 0.2037 0.1994
-0.0922 -1.7972 6.0632
-0.0413 -0.8046 2.7144

=====

TmPuRuO6 (PBE, relaxed); formation energy (no corrections) = -2.2027 eV/atom
1.0
5.5259 0.0000 0.0000
-2.7630 4.7856 0.0000
0.0000 0.0000 8.6884
O Tm Pu Ru
12 2 2 2
Cartesian
1.9567 3.2343 1.0726
0.9403 1.4739 3.2716
4.5856 1.4739 1.0726
-1.8226 3.3117 7.6158
-0.8063 1.5513 5.4168
1.7466 0.0774 1.0726
3.5693 3.2343 3.2716
3.7793 0.0774 3.2716
-1.0164 4.7082 5.4168
1.8226 3.3117 5.4168
0.8063 1.5513 7.6158
1.0164 4.7082 7.6158
0.0000 3.1904 2.1721
2.7630 1.5952 6.5163
0.0000 3.1904 6.5163
2.7630 1.5952 2.1721
0.0000 0.0000 0.0000
0.0000 0.0000 4.3442

=====

Ac2Bi3Rh2 (PBE, relaxed); relative energy among the computed polymorphs = 35 meV per atom; calculated formation energy = -547.5 meV/atom
1.0
-4.2913 -0.4684 -1.2111
3.6701 -0.0158 -4.6993
-0.1011 -7.6628 3.3215
Bi Rh Ac
3 2 2
Cartesian
-2.1457 -0.2342 -0.6056
1.0775 -4.4526 -2.0959
-1.7998 -3.6944 -0.4930
0.4556 -1.9377 -0.8650
-1.1779 -6.2093 -1.7239
-1.0935 -1.9549 -3.6683
0.3712 -6.1921 1.0794

=====

Ti3AuN (PBE, relaxed); formation energy (no corrections) = -0.6702 eV/atom
1.0
-0.3869 -0.5990 -4.3912
4.9278 -10.2823 0.9684
-5.6363 -2.6208 0.8542
Ti N Au
12 4 4
Cartesian
-1.7420 -2.5627 -1.7499
0.8074 -4.7872 -3.9245
1.4090 -8.7752 1.0718
-1.9028 -8.7149 1.3559
-0.6485 -11.3321 1.6024
-0.6078 -8.3222 -1.0652
-0.4877 -5.1799 -1.5034
-2.5044 -4.7269 -3.6405
2.9709 -8.2585 -1.3898
-0.4469 -2.1700 -4.1710
-4.0664 -5.2436 -1.1788
0.6465 -10.9394 -0.8187
3.1697 -7.9565 0.8050
1.2102 -9.0772 -1.1230
-2.3056 -4.4249 -1.4456
-4.2651 -5.5456 -3.3736
-2.8182 -1.3104 0.4271
2.2704 -5.4407 -1.7114
-0.3542 -6.4515 0.9113
-0.1935 -0.2995 -2.1956

=====

Cs3CaCe3S8 (PBE, relaxed); formation energy (no corrections) = -1.7602 eV/atom
1.0
-6.0555 -4.7755 -3.1735
6.6895 1.8669 -4.6166
1.3245 -6.2707 6.9088
S Cs Ce Ca
8 3 3 1
Cartesian
2.5890 -4.4857 1.8097
-0.4586 -6.9034 0.3061
-0.9377 -3.2873 1.0747
-3.8645 -5.5955 -0.4592
-0.6305 -4.6936 -2.6911
2.8962 -5.8919 -1.9561
2.4171 -2.2758 -1.1875
5.8230 -3.5838 -0.4222
0.3170 -1.4543 -3.8951
0.0000 0.0000 0.0000
3.3448 0.9335 -2.3083
4.0070 -2.2019 1.1461
0.9793 -4.5896 -0.4407
-2.3655 -5.5231 1.8676
0.6622 -3.1354 3.4544

=====

GdDyYCd (PBE, relaxed); calculated formation energy = -31.0 meV/atom
1.0
-0.7105 1.2034 5.2838
-1.1812 -3.9654 3.5710
3.7250 -1.5597 3.6828
Gd Dy Cd Y
1 1 1 1
Cartesian
0.4583 -1.0804 3.1344
0.0000 0.0000 0.0000
0.9167 -2.1608 6.2688
1.3750 -3.2412 9.4032

=====

Na4Sc3TiS8 (PBE, relaxed); formation energy (no corrections) = -1.6296 eV/atom
1.0
7.4487 0.0000 0.0000
0.0000 7.9025 0.3125
-3.7244 -3.7189 5.2709
Sc S Na Ti
3 8 4 1
Cartesian
3.7244 3.9512 0.1563
1.8622 2.0918 2.7917
-1.8622 2.0918 2.7917
5.6308 2.1854 0.1955
0.0000 3.9019 2.6903
3.7244 3.8916 2.7452
0.0000 0.2919 2.8382
3.7244 0.2817 2.8932
1.9065 1.9982 5.3880
-1.9065 1.9982 5.3880
1.8179 2.1854 0.1955
-1.8622 -1.8595 2.6355
3.7244 0.0000 0.0000
1.8622 -1.8595 2.6355
0.0000 0.0000 0.0000
0.0000 3.9512 0.1563

=====

RbPbN2O (PBE, relaxed); formation energy (no corrections) = 0.8344 eV/atom
1.0
-1.7919 1.5513 -4.1085
-3.7495 -2.8506 0.5589
-2.1457 3.2462 2.1615
N O Pb Rb
2 1 1 1
Cartesian
-1.8748 -1.4253 0.2795
-0.8959 0.7757 -2.0542
-1.0728 1.6231 1.0808
0.0000 0.0000 0.0000
-3.8435 0.9735 -0.6940

=====

PuTh2Au4 (PBE, relaxed); calculated formation energy = -406.9 meV/atom
1.0
5.1569 0.0000 -1.6439
-0.5240 5.1302 -1.6439
-0.5043 -0.5584 7.3288
Th Au Pu
2 4 1
Cartesian
3.1048 3.4381 0.8293
1.0238 1.1337 3.2117
1.1294 4.1059 3.5430
2.9992 0.4659 0.4980
0.1588 3.0310 0.4980
3.9699 1.5408 3.5430
0.0000 0.0000 0.0000

=====

Pr4Ho2Er5 (PBE, relaxed); relative energy among the computed polymorphs = 193 meV per atom; calculated formation energy = 300.0 meV/atom
1.0
-0.8351 0.2031 -3.4033
7.1333 -5.5042 -2.0787
-9.9273 -6.5544 3.8549
Ho Er Pr
2 5 4
Cartesian
-3.6577 -4.9672 0.6011
0.0286 -6.8883 -2.2282
-7.3349 -4.7129 -0.2916
3.7058 -7.1426 -1.3355
-0.4175 0.1015 -1.7016
-3.0342 -8.0314 -1.5449
-0.5949 -3.8241 -0.0822
5.0523 -3.8985 -1.4723
1.8414 -4.4264 -2.5261
-5.4705 -7.4291 0.8990
2.0810 -1.6058 -0.6064

=====

TiAg3N (PBE, relaxed); formation energy (no corrections) = 0.8878 eV/atom; relative energy among the computed polymorphs = 0 meV per atom
1.0
-0.8976 -3.2617 -2.7862
4.1146 -1.4595 0.3831
-1.2130 -2.5374 3.3612
N Ti Ag
1 1 3
Cartesian
0.0000 0.0000 0.0000
1.0020 -3.6293 0.4791
2.0573 -0.7298 0.1916
-0.4488 -1.6308 -1.3931
-0.6065 -1.2687 1.6806

=====

SmEr6Tm12 (PBE, relaxed); relative energy among the computed polymorphs = 0 meV per atom; calculated formation energy = 164.9 meV/atom
1.0
8.3379 0.7270 0.8709
-0.5455 8.3518 0.8709
-0.5455 -0.6355 8.3730
Tm Er Sm
12 6 1
Cartesian
5.6506 5.3361 9.5617
4.3281 2.0277 4.4936
-0.2529 1.5763 3.1560
3.3559 4.8934 2.7981
2.8292 0.1781 2.1149
3.8911 3.5499 7.3168
1.3481 3.6019 5.3147
7.4999 6.8670 6.9588
2.9189 6.4155 5.6212
1.5964 3.1072 0.5532
4.4178 8.2652 8.0000
5.8989 4.8414 4.8002
1.7024 0.5021 6.0275
5.5446 7.9412 4.0873
1.7318 5.8751 8.5438
7.0089 2.8271 7.3072
0.2382 5.6162 2.8076
5.5152 2.5682 1.5711
0.0000 0.0000 0.0000

=====

VReN3 (PBE, relaxed); formation energy (no corrections) = 1.1020 eV/atom
1.0
-3.4742 0.9028 -1.0620
-1.2631 -3.2453 1.3733
-0.5895 1.6329 3.3165
N V Re
3 1 1
Cartesian
-0.2947 0.8165 1.6583
-1.7371 0.4514 -0.5310
-0.6315 -1.6226 0.6867
0.0000 0.0000 0.0000
-2.6634 -0.3548 1.8139

=====

Ta2Nb2V (PBE, relaxed); relative energy among the computed polymorphs = 124 meV per atom; calculated formation energy = 644.4 meV/atom
1.0
-3.9465 0.4738 2.0332
-3.9430 -3.0117 -6.9516
2.3402 -3.1140 5.2682
Nb Ta V
4 4 2
Cartesian
-5.9279 -3.2130 -3.4047
-3.7390 -1.5410 0.4545
-1.8103 -4.1110 -0.1048
0.3787 -2.4390 3.7545
-0.8012 -2.2043 1.4095
-2.6477 -3.5557 3.0422
-2.9015 -2.0963 -2.6925
-4.7480 -3.4476 -1.0597
0.0000 0.0000 0.0000
-1.9732 0.2369 1.0166

=====

CePaIr2 (PBE, relaxed); relative energy among the computed polymorphs = 313 meV per atom; calculated formation energy = -544.1 meV/atom
1.0
4.1198 0.0000 0.0000
0.0000 4.4156 0.0000
0.0000 0.0000 4.4156
Ir Pa Ce
2 1 1
Cartesian
0.0000 0.0000 2.2078
0.0000 2.2078 0.0000
2.0599 2.2078 2.2078
2.0599 0.0000 0.0000